A plane-wave DFT calculation with PBE was carried out for PuMg3 after structural relaxation.

Properties
space-group type: No. 139
energy of formation from the pure elements: 0.6 eV/f.u.
electronic total energy: -4.639 eV per atom

Lattice parameters (Å, degrees): 5.203 5.203 5.183 120.13 120.13 90.00
Each line ends with the local moment (μB).
Atoms (fractional coordinates):
Mg: 0.500 0.500 0.000  0.01
Mg: 0.750 0.250 0.500  -0.01
Mg: 0.250 0.750 0.500  -0.01
Pu: 0.000 0.000 0.000  -5.46